VASP calculation (GGA-PBE) on crystalline LiAl3Ga2 at its relaxed geometry.

The structure in POSCAR format:
```
LiAl3Ga2
1.0
3.9360 0.0003 -0.8800
-0.5817 7.1273 -2.5987
-0.2861 -0.5453 7.9621
Ga Li Al
4 2 6
direct
0.5121 0.1722 0.0243 Ga
0.2497 0.8837 0.4993 Ga
0.4879 0.8278 0.9757 Ga
0.7503 0.1163 0.5007 Ga
0.8868 0.9321 0.7736 Li
0.1132 0.0679 0.2264 Li
0.9341 0.5756 0.8682 Al
0.3777 0.2885 0.7554 Al
0.6223 0.7114 0.2446 Al
0.6935 0.4069 0.3871 Al
0.0659 0.4244 0.1318 Al
0.3065 0.5931 0.6129 Al
```

calculated density: 3.500 g cm⁻³
ΔE to the lowest computed polymorph: 35 meV/atom
energy of formation from the pure elements: -0.034 eV/atom

=====

VASP calculation (GGA-PBE) on crystalline Li5AlGa4 at its relaxed geometry.

The structure in POSCAR format:
```
Li5AlGa4
1.0
4.4751 -0.8293 -1.9813
-1.1603 5.6657 -0.7784
-0.8853 0.6599 6.8077
Al Ga Li
1 4 5
direct
0.5000 0.0000 0.0000 Al
0.6991 0.3029 0.3980 Ga
0.8964 0.1079 0.8016 Ga
0.3009 0.6971 0.6020 Ga
0.1036 0.8921 0.1984 Ga
0.6989 0.8030 0.4024 Li
0.3011 0.1970 0.5976 Li
0.1001 0.3913 0.2095 Li
0.8999 0.6087 0.7905 Li
0.5000 0.5000 0.0000 Li
```

calculated density: 3.549 g cm⁻³
ΔE to the lowest computed polymorph: 0 meV/atom
energy of formation from the pure elements: -0.236 eV/atom

=====

VASP calculation (GGA-PBE) on crystalline LiAlGa3 at its relaxed geometry.

The structure in POSCAR format:
```
LiAlGa3
1.0
-2.5365 2.2097 3.6757
-3.9159 -2.9349 -0.9379
1.7491 -3.3662 3.2307
Li Al Ga
1 1 3
direct
0.5000 0.5000 0.5000 Li
0.0000 0.0000 0.0000 Al
0.0000 0.5000 0.0000 Ga
0.0000 0.0000 0.5000 Ga
0.5000 0.0000 0.0000 Ga
```

calculated density: 3.263 g cm⁻³
ΔE to the lowest computed polymorph: 313 meV/atom
energy of formation from the pure elements: 0.262 eV/atom

=====

VASP calculation (GGA-PBE) on crystalline Li2Al2Ga at its relaxed geometry.

The structure in POSCAR format:
```
Li2Al2Ga
1.0
3.9401 0.0017 0.9564
-0.1624 2.7455 0.6675
0.2555 -0.3646 7.4022
Al Li Ga
2 2 1
direct
0.9957 0.7983 0.4040 Al
0.4042 0.2017 0.5960 Al
0.6058 0.4066 0.1895 Li
0.7942 0.5934 0.8105 Li
0.2000 0.0000 0.0000 Ga
```

calculated density: 2.840 g cm⁻³
ΔE to the lowest computed polymorph: 0 meV/atom
energy of formation from the pure elements: -0.173 eV/atom

=====

VASP calculation (GGA-PBE) on crystalline LiAl8Ga6 at its relaxed geometry.

The structure in POSCAR format:
```
LiAl8Ga6
1.0
-5.9491 -3.0613 -0.9257
-3.2115 -2.7957 5.2432
-6.4368 4.2492 2.6736
Al Ga Li
8 6 1
direct
0.3649 0.3649 0.9053 Al
0.8612 0.1746 0.6091 Al
0.1746 0.3552 0.6091 Al
0.8254 0.6448 0.3909 Al
0.6448 0.1388 0.3909 Al
0.3552 0.8612 0.6091 Al
0.6351 0.6351 0.0947 Al
0.1388 0.8254 0.3909 Al
0.4906 0.0001 0.2149 Ga
0.9999 0.7056 0.7851 Ga
0.5094 0.9999 0.7851 Ga
0.7056 0.5094 0.7851 Ga
0.0001 0.2944 0.2149 Ga
0.2944 0.4906 0.2149 Ga
0.0000 0.0000 0.0000 Li
```

calculated density: 3.757 g cm⁻³
energy of formation from the pure elements: 0.070 eV/atom

=====

VASP calculation (GGA-PBE) on crystalline Li4AlGa at its relaxed geometry.

The structure in POSCAR format:
```
Li4AlGa
1.0
-0.0435 0.8741 -5.0791
-4.4710 0.7800 -2.4424
-1.1707 4.6860 -1.7985
Li Ga Al
4 1 1
direct
0.6249 0.6249 0.6249 Li
0.6249 0.6249 0.1254 Li
0.1254 0.6249 0.6249 Li
0.6249 0.1254 0.6249 Li
0.0000 0.0000 0.0000 Ga
0.2500 0.2500 0.2500 Al
```

calculated density: 2.135 g cm⁻³
ΔE to the lowest computed polymorph: 209 meV/atom
energy of formation from the pure elements: -0.008 eV/atom